# 1
Ta2InPt PBE relaxed; ΔH_f (0 K) = -13 meV per atom
1.0
1.4928 0.8619 9.5819
-1.4928 0.8619 9.5819
0.0000 -1.7238 9.5819
Ta In Pt
2 1 1
Cartesian
0.0000 0.0000 0.0000
0.0000 0.0000 7.1058
0.0000 0.0000 21.7008
0.0000 0.0000 14.5114

=====

# 2
MoCSe3 PBE relaxed; ΔE to the lowest computed polymorph = 0 kJ/mol of formula units; formation energy without anion corrections = 1237 meV/atom
1.0
4.3508 0.0000 0.0000
0.0000 4.3508 0.0000
0.0000 0.0000 4.3508
Mo C Se
1 1 3
Cartesian
0.0000 0.0000 0.0000
2.1754 2.1754 2.1754
0.0000 2.1754 2.1754
2.1754 0.0000 2.1754
2.1754 2.1754 0.0000

=====

# 3
FeSbRh2 PBE relaxed; formation energy without anion corrections = 69 meV/atom
1.0
1.5423 0.8904 7.9368
-1.5423 0.8904 7.9368
0.0000 -1.7809 7.9368
Fe Sb Rh
1 1 2
Cartesian
0.0000 0.0000 0.0000
0.0000 0.0000 11.9051
0.0000 0.0000 6.0659
0.0000 0.0000 17.7444

=====

# 4
Sm2HoSn PBE relaxed; ΔE to the lowest computed polymorph = 67 kJ/mol of formula units; ΔH_f (0 K) = -256 meV per atom
1.0
0.0000 3.8711 3.8711
3.8711 0.0000 3.8711
3.8711 3.8711 0.0000
Sm Ho Sn
2 1 1
Cartesian
1.9355 1.9355 1.9355
5.8066 5.8066 5.8066
0.0000 0.0000 0.0000
3.8711 3.8711 3.8711

=====

# 5
InGaRu2Cl PBE relaxed; formation energy without anion corrections = 1428 meV/atom
1.0
5.0674 0.0000 0.0000
0.0000 5.0674 0.0000
0.0000 0.0000 5.4192
In Ga Ru Cl
1 1 2 1
Cartesian
0.0000 0.0000 0.0000
2.5337 2.5337 2.7096
0.0000 2.5337 0.0000
2.5337 0.0000 0.0000
0.0000 0.0000 2.7096

=====

# 6
TaCoRh2S PBE relaxed; formation energy without anion corrections = 340 meV/atom
1.0
4.4205 0.0000 0.0000
0.0000 4.4205 0.0000
0.0000 0.0000 4.0175
Ta Co Rh S
1 1 2 1
Cartesian
0.0000 0.0000 0.0000
2.2103 2.2103 0.0000
0.0000 2.2103 2.0088
2.2103 0.0000 2.0088
2.2103 2.2103 2.0088

=====

# 7
Ce2SmDyAs5 PBE relaxed; ΔH_f (0 K) = -496 meV per atom
1.0
5.0220 0.0000 0.0000
0.0000 5.0220 0.0000
0.0000 0.0000 10.8222
Ce Sm Dy As
2 1 1 5
Cartesian
0.0000 0.0000 2.3039
0.0000 0.0000 8.5183
2.5110 2.5110 0.0000
2.5110 2.5110 5.4111
0.0000 0.0000 5.4111
0.0000 2.5110 0.0000
2.5110 0.0000 0.0000
2.5110 2.5110 2.7659
2.5110 2.5110 8.0564

=====

# 8
ErZnGa3 PBE relaxed; ΔH_f (0 K) = -354 meV per atom
1.0
4.1545 0.0000 0.0000
0.0035 4.2439 0.0000
1.9923 2.1079 5.3387
Er Zn Ga
1 1 3
Cartesian
0.0000 0.0000 0.0000
4.0100 4.2217 4.1045
1.9572 4.2452 2.6548
2.1166 2.1274 1.1471
4.1616 2.1032 2.7040

=====

# 9
BaMgAlTl2 PBE relaxed; ΔH_f (0 K) = -209 meV per atom
1.0
-2.3998 2.3998 6.3426
2.3998 -2.3998 6.3426
2.3998 2.3998 -6.3426
Ba Mg Al Tl
1 1 1 2
Cartesian
0.0000 0.0000 0.0000
2.3998 0.0000 3.1713
0.0000 2.3998 3.1713
0.0000 0.0000 4.8197
0.0000 0.0000 7.8654

=====

# 10
LiZrRe2 PBE relaxed; ΔE to the lowest computed polymorph = 55 kJ/mol of formula units; ΔH_f (0 K) = 223 meV per atom
1.0
2.8180 0.0000 0.0000
0.0000 4.1042 0.0000
0.0000 0.0000 5.6528
Li Zr Re
1 1 2
Cartesian
0.0000 0.0000 0.0000
1.4090 2.0521 4.2314
0.0000 0.0000 2.5900
1.4090 2.0521 1.5221

=====

# 11
TlNiOs2 PBE relaxed; ΔE to the lowest computed polymorph = 207 kJ/mol of formula units; ΔH_f (0 K) = 1005 meV per atom
1.0
0.0000 3.1349 3.1349
3.1349 0.0000 3.1349
3.1349 3.1349 0.0000
Tl Ni Os
1 1 2
Cartesian
0.0000 0.0000 0.0000
3.1349 3.1349 3.1349
1.5674 1.5674 1.5674
4.7023 4.7023 4.7023

=====

# 12
NbTc2HPd PBE relaxed; ΔE to the lowest computed polymorph = 0 kJ/mol of formula units
1.0
3.9594 0.0000 0.0000
0.0000 3.9594 0.0000
0.0000 0.0000 4.0730
Nb Tc H Pd
1 2 1 1
Cartesian
0.0000 0.0000 0.0000
0.0000 1.9797 2.0365
1.9797 0.0000 2.0365
0.0000 0.0000 2.0365
1.9797 1.9797 0.0000

=====

# 13
PrGd2Ho PBE relaxed; ΔE to the lowest computed polymorph = 0 kJ/mol of formula units; ΔH_f (0 K) = 21 meV per atom
1.0
5.0789 0.0000 0.0000
0.0000 5.0789 0.0000
0.0000 0.0000 5.1076
Pr Gd Ho
1 2 1
Cartesian
0.0000 0.0000 0.0000
0.0000 2.5395 2.5538
2.5395 0.0000 2.5538
2.5395 2.5395 0.0000

=====

# 14
ScHgSb PBE relaxed; ΔE to the lowest computed polymorph = 13 kJ/mol of formula units; formation energy without anion corrections = -384 meV/atom
1.0
0.0000 4.7661 5.1716
2.8622 0.0000 5.1716
2.8622 4.7661 0.0000
Sc Hg Sb
2 2 2
Cartesian
0.0000 0.0000 0.0000
1.4311 2.3831 2.5858
2.8622 3.1029 5.1716
2.8622 6.4293 5.1716
4.2934 5.4843 7.7574
4.2934 8.8141 7.7574

=====

# 15
Fe2CoPt2 PBE relaxed; ΔH_f (0 K) = -142 meV per atom
1.0
4.2117 -1.8746 0.0000
4.2117 1.8746 0.0000
-4.1098 0.0000 4.2779
Fe Co Pt
2 1 2
Cartesian
-0.4383 0.0000 1.2867
4.7520 0.0000 2.9912
2.1568 0.0000 2.1389
-1.1531 0.0000 3.7885
5.4668 0.0000 0.4894

=====

# 16
NaSnB PBE relaxed; ΔH_f (0 K) = 383 meV per atom
1.0
5.5250 0.0000 0.0000
1.0866 6.8331 0.0000
0.9608 3.2643 6.6695
Na Sn B
4 4 4
Cartesian
0.0000 0.0000 0.0000
1.0902 5.1595 3.2033
5.3346 8.0530 2.9691
5.4957 6.5543 6.4604
1.5440 2.3608 1.7139
2.7405 7.4206 5.0366
3.6417 5.8824 1.4751
4.1127 3.7584 4.7144
2.0998 4.3368 0.6560
2.1949 2.7312 4.0434
3.8012 5.8589 3.7975
6.1346 2.7069 4.0618

=====

# 17
AcCeBiSb PBE relaxed; ΔE to the lowest computed polymorph = 59 kJ/mol of formula units; formation energy without anion corrections = -621 meV/atom
1.0
2.7600 1.5935 12.3045
-2.7600 1.5935 12.3045
0.0000 -3.1870 12.3045
Ac Ce Bi Sb
2 2 2 2
Cartesian
0.0000 0.0000 7.5974
0.0000 0.0000 29.3161
0.0000 0.0000 14.1545
0.0000 0.0000 22.7590
0.0000 0.0000 10.9993
0.0000 0.0000 25.9142
0.0000 0.0000 4.0410
0.0000 0.0000 32.8725

=====

# 18
Ag2SbPd8 PBE relaxed; ΔE to the lowest computed polymorph = 8 kJ/mol of formula units; formation energy without anion corrections = 2 meV/atom
1.0
4.0632 -5.2792 0.0000
4.0632 5.2792 0.0000
0.0000 0.0000 4.4282
Ag Sb Pd
2 1 8
Cartesian
4.0632 3.9714 0.0000
4.0632 -3.9714 0.0000
4.0632 0.0000 2.2141
1.4043 0.0000 2.2141
2.6908 1.3993 0.0000
4.0632 2.5522 2.2141
2.6908 -1.3993 0.0000
5.4356 1.3993 0.0000
4.0632 -2.5522 2.2141
5.4356 -1.3993 0.0000
6.7220 0.0000 2.2141

=====

# 19
Cs2AlInH6 PBE relaxed; electronic total energy = -29.3 eV per formula unit
1.0
0.0000 4.3845 4.3845
4.3845 0.0000 4.3845
4.3845 4.3845 0.0000
Cs Al In H
2 1 1 6
Cartesian
2.1923 2.1923 2.1923
6.5768 6.5768 6.5768
0.0000 0.0000 0.0000
4.3845 4.3845 4.3845
4.3845 4.3845 1.7957
4.3845 1.7957 4.3845
6.9733 4.3845 4.3845
1.7957 4.3845 4.3845
4.3845 6.9733 4.3845
4.3845 4.3845 6.9733

=====

# 20
AcPm3Tm2 PBE relaxed; ΔE to the lowest computed polymorph = 0 kJ/mol of formula units; ΔH_f (0 K) = 46 meV per atom
1.0
5.1468 -3.6710 0.0000
5.1468 3.6710 0.0000
-5.1437 0.0000 10.9502
Ac Pm Tm
2 6 4
Cartesian
1.2890 2.7550 8.2126
3.8609 -2.7550 2.7375
-1.2834 0.9188 10.0688
3.8609 0.9139 2.7375
1.2884 -0.9188 4.5937
3.8615 0.9188 6.3565
1.2890 -0.9139 8.2126
6.4333 -0.9188 0.8814
-1.2856 0.9191 6.3706
1.2862 -0.9191 0.8956
3.8637 0.9191 10.0546
6.4355 -0.9191 4.5795